#i
VASP calculation (meta-GGA SCAN) on a crystal of Tc2AgPt relaxed with PBEsol.

```
4
Lattice="1.364 0.788 9.181 -1.364 0.788 9.181 0.000 -1.575 9.181" Properties=species:S:1:pos:R:3 pbc="T T T"
Tc 0.000 0.000 0.000
Tc 0.000 0.000 7.131
Ag 0.000 0.000 13.876
Pt 0.000 0.000 20.652
```

V (Å³ per atom): 14.79
N(E_F) (states/eV/f.u.): 3.5

***

#ii
VASP calculation (meta-GGA SCAN) on a crystal of Tc2AgPt relaxed with PBEsol.

```
4
Lattice="-1.898 2.012 3.864 1.898 -2.012 3.864 1.898 2.012 -3.864" Properties=species:S:1:pos:R:3 pbc="T T T"
Tc 0.000 0.000 0.000
Tc 0.000 2.012 2.163
Ag 1.898 0.000 2.006
Pt 0.000 0.000 3.979
```

V (Å³ per atom): 14.75
N(E_F) (states/eV/f.u.): 3.4

***

Most stable pick: #i. Distance to second place: 200 meV per atom.

***

#i
VASP calculation (meta-GGA SCAN) on a crystal of TcAg2Pt relaxed with PBEsol.

```
4
Lattice="-1.374 2.409 4.770 1.374 -2.409 4.770 1.374 2.409 -4.770" Properties=species:S:1:pos:R:3 pbc="T T T"
Tc 0.000 0.000 0.000
Ag 0.000 0.000 4.587
Ag 0.000 2.409 2.297
Pt 1.374 0.000 2.163
```

V (Å³ per atom): 15.79
N(E_F) (states/eV/f.u.): 2.8

***

#ii
VASP calculation (meta-GGA SCAN) on a crystal of TcAg2Pt relaxed with PBEsol.

```
4
Lattice="2.653 0.000 0.000 0.000 4.259 0.000 0.000 0.000 5.438" Properties=species:S:1:pos:R:3 pbc="T T T"
Tc 0.000 0.000 0.000
Ag 1.326 2.129 1.346
Ag 1.326 2.129 4.091
Pt 0.000 0.000 2.719
```

V (Å³ per atom): 15.36
N(E_F) (states/eV/f.u.): 3.7

***

Most stable pick: #i. Distance to second place: 42 meV per atom.

***

#i
VASP calculation (meta-GGA SCAN) on a crystal of TlAg2Pt relaxed with PBEsol.

```
4
Lattice="4.022 0.000 0.000 0.000 4.022 0.000 0.000 0.000 4.312" Properties=species:S:1:pos:R:3 pbc="T T T"
Tl 0.000 0.000 0.000
Ag 0.000 2.011 2.156
Ag 2.011 0.000 2.156
Pt 2.011 2.011 0.000
```

V (Å³ per atom): 17.44
N(E_F) (states/eV/f.u.): 1.4

***

#ii
VASP calculation (meta-GGA SCAN) on a crystal of TlAg2Pt relaxed with PBEsol.

```
4
Lattice="2.805 -4.145 0.000 2.805 4.145 0.000 0.000 0.000 3.038" Properties=species:S:1:pos:R:3 pbc="T T T"
Tl 0.000 0.000 0.000
Ag 1.403 2.073 1.519
Ag 1.403 -2.073 1.519
Pt 2.805 0.000 0.000
```

V (Å³ per atom): 17.67
N(E_F) (states/eV/f.u.): 1.2

***

Most stable pick: #i. Distance to second place: 56 meV per atom.